1.
! RbPrEu2 PBE optimized geometry; values from VASP
&SYSTEM
  ibrav = 0, nat = 4, ntyp = 3
/
ATOMIC_SPECIES
Eu 151.96 Eu.upf
Pr 140.91 Pr.upf
Rb 85.47 Rb.upf
CELL_PARAMETERS angstrom
-1.003 2.420 2.924
-3.757 -1.065 -0.408
1.731 -9.274 8.269
ATOMIC_POSITIONS crystal
Eu 0.000 0.000 0.794
Eu 0.000 0.000 0.206
Pr 0.500 0.500 0.000
Rb 0.500 0.500 0.500
! E_form = 163.8 meV/atom
! Symmetry = No. 123

=====

2.
! PbSe2N PBE optimized geometry; values from VASP
&SYSTEM
  ibrav = 0, nat = 4, ntyp = 3
/
ATOMIC_SPECIES
Pb 207.20 Pb.upf
Se 78.96 Se.upf
N 14.01 N.upf
CELL_PARAMETERS angstrom
2.668 0.000 6.746
-1.334 2.310 6.746
-1.334 -2.310 6.746
ATOMIC_POSITIONS crystal
Pb 0.500 0.500 0.500
Se 0.086 0.086 0.086
Se 0.914 0.914 0.914
N 0.000 0.000 0.000
! Symmetry = No. 166

=====

| no. | M_tot (μB per cell) | polymorph energy (0 for the lowest one) (eV per atom) | N(E_F) (states/eV per cell) |
| --- | --- | --- | --- |
| 1 | 15.4 | 0.000 | 20.0 |
| 2 | 0.0 | 0.000 | 2.4 |